VASP calculation (PBE+U) on a relaxed PmHfVO6 crystal.

Properties
raw total energy	-77.57	eV/cell
DOS(E_F)	0.00	states/eV/f.u.

```
data_PmHfVO6
_cell_length_a 5.2476
_cell_length_b 5.2476
_cell_length_c 5.0257
_cell_angle_alpha 90.00
_cell_angle_beta 90.00
_cell_angle_gamma 120.00
_space_group_name_H-M_alt 'P 3 1 2'
_space_group_IT_number 149
loop_
_space_group_symop_operation_xyz
'x,y,z'
'-y,x-y,z'
'-x+y,-x,z'
'-y,-x,-z'
'-x+y,y,-z'
'x,x-y,-z'
loop_
_atom_site_label
_atom_site_type_symbol
_atom_site_fract_x
_atom_site_fract_y
_atom_site_fract_z
Pm1 Pm 0.0000 0.0000 0.0000
Hf1 Hf 0.3333 0.6667 0.5000
V1 V 0.6667 0.3333 0.5000
O1 O 0.3759 0.0233 0.7149
```